[1]
The following is a DFT calculation (PBE) of crystalline PmZr3Pa2N6 at its relaxed geometry.

The structure in CIF format:
```
data_PmZr3Pa2N6
_chemical_formula_sum 'Pm1 Zr3 Pa2 N6'
_symmetry_space_group_name_H-M 'P 1'
_symmetry_Int_Tables_number 1
_cell_length_a 5.8662
_cell_length_b 5.8662
_cell_length_c 5.8980
_cell_angle_alpha 99.57
_cell_angle_beta 99.57
_cell_angle_gamma 119.91
loop_
_symmetry_equiv_pos_as_xyz
'x,y,z'
loop_
_atom_site_label
_atom_site_fract_x
_atom_site_fract_y
_atom_site_fract_z
_atom_site_occupancy
N1 0.7437 0.7437 0.2637 1
Zr1 0.5000 0.5000 0.5000 1
Pm1 0.0000 0.0000 0.0000 1
N2 0.4331 0.0888 0.2659 1
Zr2 0.8375 0.1625 0.5000 1
N3 0.9112 0.5669 0.7341 1
N4 0.5669 0.9112 0.7341 1
Pa1 0.3332 0.6668 0.0000 1
N5 0.2563 0.2563 0.7363 1
N6 0.0888 0.4331 0.2659 1
Zr3 0.1625 0.8375 0.5000 1
Pa2 0.6668 0.3332 0.0000 1
```

Calculated values
energy relative to the elements, uncorrected: -19.71 eV/f.u.
crystal system: monoclinic
raw total energy: -119.0 eV per cell
size of the total moment: 0.00 μB per formula unit



[2]
The following is a DFT calculation (PBE) of crystalline Rb2TiTlS4 at its relaxed geometry.

The structure in CIF format:
```
data_Rb2TiTlS4
_chemical_formula_sum 'Rb4 Ti2 Tl2 S8'
_symmetry_space_group_name_H-M 'P 1'
_symmetry_Int_Tables_number 1
_cell_length_a 6.6225
_cell_length_b 7.7021
_cell_length_c 12.3172
_cell_angle_alpha 83.36
_cell_angle_beta 74.41
_cell_angle_gamma 64.54
loop_
_symmetry_equiv_pos_as_xyz
'x,y,z'
loop_
_atom_site_label
_atom_site_fract_x
_atom_site_fract_y
_atom_site_fract_z
_atom_site_occupancy
S1 0.1937 0.3078 0.3924 1
Rb1 0.1814 0.0000 0.6372 1
S2 0.5563 0.1922 0.1076 1
S3 0.8940 0.6922 0.6076 1
Tl1 0.7500 0.5000 0.5000 1
Ti1 0.2500 0.5000 0.5000 1
Rb2 0.8186 0.0000 0.3628 1
Tl2 0.0000 0.0000 0.0000 1
S4 0.4138 0.6922 0.3924 1
Rb3 0.5686 0.5000 0.8628 1
S5 0.2515 0.1922 0.8924 1
S6 0.3362 0.8078 0.1076 1
S7 0.8560 0.8078 0.8924 1
Ti2 0.5000 0.0000 0.0000 1
S8 0.4985 0.3078 0.6076 1
Rb4 0.9314 0.5000 0.1372 1
```

Calculated values
energy relative to the elements, uncorrected: -7.61 eV/f.u.
crystal system: orthorhombic
raw total energy: -72.6 eV per cell
size of the total moment: 0.00 μB per formula unit



[3]
The following is a DFT calculation (PBE) of crystalline Ba2LaCd at its relaxed geometry.

The structure in CIF format:
```
data_Ba2LaCd
_chemical_formula_sum 'Ba2 La1 Cd1'
_symmetry_space_group_name_H-M 'P 1'
_symmetry_Int_Tables_number 1
_cell_length_a 6.0698
_cell_length_b 6.0698
_cell_length_c 6.0698
_cell_angle_alpha 60.00
_cell_angle_beta 60.00
_cell_angle_gamma 60.00
loop_
_symmetry_equiv_pos_as_xyz
'x,y,z'
loop_
_atom_site_label
_atom_site_fract_x
_atom_site_fract_y
_atom_site_fract_z
_atom_site_occupancy
Ba1 0.0000 0.0000 0.0000 1
La1 0.7500 0.7500 0.7500 1
Ba2 0.2500 0.2500 0.2500 1
Cd1 0.5000 0.5000 0.5000 1
```

Calculated values
crystal system: cubic
raw total energy: -9.3 eV per cell
size of the total moment: 0.70 μB per formula unit
energy relative to the elements: 85.8 meV per atom



[4]
The following is a DFT calculation (PBE) of crystalline RbTiPb2O4 at its relaxed geometry.

The structure in CIF format:
```
data_RbTiPb2O4
_chemical_formula_sum 'Rb1 Ti1 Pb2 O4'
_symmetry_space_group_name_H-M 'P 1'
_symmetry_Int_Tables_number 1
_cell_length_a 5.6582
_cell_length_b 5.6582
_cell_length_c 6.2610
_cell_angle_alpha 110.53
_cell_angle_beta 110.53
_cell_angle_gamma 102.94
loop_
_symmetry_equiv_pos_as_xyz
'x,y,z'
loop_
_atom_site_label
_atom_site_fract_x
_atom_site_fract_y
_atom_site_fract_z
_atom_site_occupancy
O1 0.7537 0.4135 0.1672 1
O2 0.1628 0.1628 0.7494 1
O3 0.5866 0.5866 0.7494 1
Ti1 0.4839 0.4839 0.9677 1
Pb1 0.2744 0.7744 0.5487 1
O4 0.4135 0.7537 0.1672 1
Rb1 0.0512 0.0512 0.1024 1
Pb2 0.7744 0.2744 0.5487 1
```

Calculated values
energy relative to the elements, uncorrected: -13.62 eV/f.u.
crystal system: orthorhombic
raw total energy: -49.7 eV per cell
size of the total moment: 0.00 μB per formula unit